Record 1
NaHRh2 (PBEsol, optimized geometry); V = 49.0 Å³ per cell; crystal system = cubic; space group = Fm-3m (225); total DFT energy (no corrections) = -16.5 eV for the cell shown
1.0
-1.1213 0.7133 -3.8856
-1.7753 -2.9757 -2.2040
-3.9810 0.2622 -0.9731
Na Rh H
1 2 1
direct
0.5000 0.5000 0.5000 Na
0.2500 0.2500 0.2500 Rh
0.7500 0.7500 0.7500 Rh
0.0000 0.0000 0.0000 H


Record 2
NaH3Rh (PBEsol, optimized geometry); V = 42.3 Å³ per cell; crystal system = cubic; space group = Pm-3m (221); total DFT energy (no corrections) = -20.8 eV for the cell shown
1.0
3.4854 0.0000 0.0000
0.0000 3.4854 0.0000
0.0000 0.0000 3.4854
Na Rh H
1 1 3
direct
0.5000 0.5000 0.5000 Na
0.0000 0.0000 0.0000 Rh
0.0000 0.5000 0.0000 H
0.0000 0.0000 0.5000 H
0.5000 0.0000 0.0000 H


Record 3
Na3H6Rh (PBEsol, optimized geometry); V = 442.1 Å³ per cell; crystal system = orthorhombic; space group = Pnma (62); total DFT energy (no corrections) = -142.2 eV for the cell shown
1.0
5.1211 0.0000 0.0000
0.0000 9.1226 0.0000
0.0000 0.0000 9.4629
Na H Rh
12 24 4
direct
0.7500 0.2830 0.7502 Na
0.2500 0.7170 0.2498 Na
0.7500 0.7830 0.7498 Na
0.2500 0.2170 0.2502 Na
0.7500 0.1049 0.0344 Na
0.2500 0.8951 0.9656 Na
0.7500 0.6049 0.4656 Na
0.2500 0.3951 0.5344 Na
0.7500 0.4543 0.1270 Na
0.2500 0.5457 0.8730 Na
0.7500 0.9543 0.3730 Na
0.2500 0.0457 0.6270 Na
0.7500 0.1859 0.2513 H
0.2500 0.8141 0.7487 H
0.7500 0.6859 0.2487 H
0.2500 0.3141 0.7513 H
0.7500 0.3768 0.5463 H
0.2500 0.6232 0.4537 H
0.7500 0.8768 0.9537 H
0.2500 0.1232 0.0463 H
0.4708 0.6063 0.6622 H
0.9708 0.3937 0.3378 H
0.0292 0.1063 0.8378 H
0.5292 0.8937 0.1622 H
0.5292 0.3937 0.3378 H
0.0292 0.6063 0.6622 H
0.9708 0.8937 0.1622 H
0.4708 0.1063 0.8378 H
0.4826 0.3311 0.9644 H
0.9826 0.6689 0.0356 H
0.0174 0.8311 0.5356 H
0.5174 0.1689 0.4644 H
0.5174 0.6689 0.0356 H
0.0174 0.3311 0.9644 H
0.9826 0.1689 0.4644 H
0.4826 0.8311 0.5356 H
0.7500 0.2787 0.4010 Rh
0.2500 0.7213 0.5990 Rh
0.7500 0.7787 0.0990 Rh
0.2500 0.2213 0.9010 Rh


Record 4
NaSbH2Rh (PBEsol, optimized geometry); V = 72.3 Å³ per cell; crystal system = tetragonal; space group = P4/mmm (123); total DFT energy (no corrections) = -17.4 eV for the cell shown
1.0
-2.5851 -1.3153 -2.3678
-0.0308 -3.2586 1.8438
-3.7304 1.7801 3.0839
Sb Rh H Na
1 1 2 1
direct
0.5000 0.5000 0.5000 Sb
0.0000 0.0000 0.0000 Rh
0.0000 0.5000 0.0000 H
0.5000 0.0000 0.0000 H
0.0000 0.0000 0.5000 Na


Record 5
Na4H6Ru (PBEsol, optimized geometry); V = 257.5 Å³ per cell; crystal system = trigonal; space group = R-3c (167); total DFT energy (no corrections) = -77.1 eV for the cell shown
1.0
6.3629 0.0032 0.0031
0.0934 6.3622 0.0031
0.0934 0.0921 6.3615
Na H Ru
8 12 2
direct
0.2500 0.2500 0.2500 Na
0.7500 0.7500 0.7500 Na
0.6246 0.2500 0.8754 Na
0.8754 0.6246 0.2500 Na
0.2500 0.8754 0.6246 Na
0.1246 0.3754 0.7500 Na
0.7500 0.1246 0.3754 Na
0.3754 0.7500 0.1246 Na
0.5545 0.4409 0.2402 H
0.2402 0.5545 0.4409 H
0.4409 0.2402 0.5545 H
0.0545 0.7402 0.9409 H
0.9409 0.0545 0.7402 H
0.7402 0.9409 0.0545 H
0.4455 0.5591 0.7598 H
0.7598 0.4455 0.5591 H
0.5591 0.7598 0.4455 H
0.9455 0.2598 0.0591 H
0.0591 0.9455 0.2598 H
0.2598 0.0591 0.9455 H
0.5000 0.5000 0.5000 Ru
0.0000 0.0000 0.0000 Ru


Record 6
NaH3Ru (PBEsol, optimized geometry); V = 41.8 Å³ per cell; crystal system = cubic; space group = Pm-3m (221); total DFT energy (no corrections) = -21.6 eV for the cell shown
1.0
3.4712 0.0000 0.0000
0.0000 3.4712 0.0000
0.0000 0.0000 3.4712
Ru Na H
1 1 3
direct
0.0000 0.0000 0.0000 Ru
0.5000 0.5000 0.5000 Na
0.0000 0.5000 0.0000 H
0.0000 0.0000 0.5000 H
0.5000 0.0000 0.0000 H


Record 7
NaSbH2 (PBEsol, optimized geometry); V = 53.7 Å³ per cell; crystal system = cubic; space group = Fm-3m (225); total DFT energy (no corrections) = -10.7 eV for the cell shown
1.0
4.2348 0.0000 0.0000
2.1174 3.6674 0.0000
2.1174 1.2225 3.4577
Sb Na H
1 1 2
direct
0.5000 0.5000 0.5000 Sb
0.0000 0.0000 0.0000 Na
0.2500 0.2500 0.2500 H
0.7500 0.7500 0.7500 H


Record 8
NaScH2 (PBEsol, optimized geometry); V = 44.8 Å³ per cell; crystal system = cubic; space group = Fm-3m (225); total DFT energy (no corrections) = -13.9 eV for the cell shown
1.0
3.9859 0.0000 0.0000
1.9930 3.4519 0.0000
1.9930 1.1506 3.2545
Sc Na H
1 1 2
direct
0.5000 0.5000 0.5000 Sc
0.0000 0.0000 0.0000 Na
0.2500 0.2500 0.2500 H
0.7500 0.7500 0.7500 H


Record 9
NaSc2H (PBEsol, optimized geometry); V = 79.0 Å³ per cell; crystal system = cubic; space group = Fm-3m (225); energy above the most stable polymorph in this dataset = 1.89 eV per formula unit
1.0
-2.9305 2.8486 2.5493
-0.1290 -0.3576 4.8018
1.8359 3.5203 2.7274
Sc Na H
2 1 1
direct
0.2500 0.2500 0.2500 Sc
0.7500 0.7500 0.7500 Sc
0.5000 0.5000 0.5000 Na
0.0000 0.0000 0.0000 H


Record 10
NaSc2H (PBEsol, optimized geometry); V = 88.0 Å³ per cell; crystal system = trigonal; space group = R-3m (166); energy above the most stable polymorph in this dataset = 0.00 eV per formula unit
1.0
3.2620 0.0000 0.0000
1.6310 2.8249 0.0000
1.6310 0.9416 9.5509
Sc Na H
2 1 1
direct
0.9372 0.9372 0.1883 Sc
0.0628 0.0628 0.8117 Sc
0.5000 0.5000 0.5000 Na
0.0000 0.0000 0.0000 H


Record 11
NaTc2H (PBEsol, optimized geometry); V = 50.1 Å³ per cell; crystal system = cubic; space group = Fm-3m (225); total DFT energy (no corrections) = -19.6 eV for the cell shown
1.0
4.1386 0.0000 0.0000
2.0693 3.5842 0.0000
2.0693 1.1947 3.3792
Na Tc H
1 2 1
direct
0.5000 0.5000 0.5000 Na
0.2500 0.2500 0.2500 Tc
0.7500 0.7500 0.7500 Tc
0.0000 0.0000 0.0000 H


Record 12
NaTiTcH2 (PBEsol, optimized geometry); V = 63.4 Å³ per cell; crystal system = tetragonal; space group = P4/mmm (123); total DFT energy (no corrections) = -21.6 eV for the cell shown
1.0
-2.7347 -1.9241 1.3528
2.3127 -1.8218 2.0840
-0.5787 3.3058 3.5320
Na Tc H Ti
1 1 2 1
direct
0.0000 0.0000 0.5000 Na
0.0000 0.0000 0.0000 Tc
0.0000 0.5000 0.0000 H
0.5000 0.0000 0.0000 H
0.5000 0.5000 0.5000 Ti


What did the seventh record say?
NaSbH2 (PBEsol, optimized geometry); V = 53.7 Å³ per cell; crystal system = cubic; space group = Fm-3m (225); total DFT energy (no corrections) = -10.7 eV for the cell shown
1.0
4.2348 0.0000 0.0000
2.1174 3.6674 0.0000
2.1174 1.2225 3.4577
Sb Na H
1 1 2
direct
0.5000 0.5000 0.5000 Sb
0.0000 0.0000 0.0000 Na
0.2500 0.2500 0.2500 H
0.7500 0.7500 0.7500 H